Version a
Computed, not measured: an optimized crystal structure of Fe2Hg3 at the PBE-GGA level of DFT.

Unit cell a=12.301 b=5.079 c=3.084 alpha=90.00 beta=91.04 gamma=90.00
Space group C2/m (No. 12)
Inequivalent atoms, fractional coordinates:
Fe1 0.074 0.000 0.251 [4 per cell]
Hg1 0.000 0.500 0.500 [2 per cell]
Hg2 0.227 0.500 0.232 [4 per cell]

## Properties
Total magnetic moment   5.55 μB/f.u.
Crystal system   monoclinic
Density of states at the Fermi level   5.715 states/eV per cell


Version b
Computed, not measured: an optimized crystal structure of Fe2Hg3 at the PBE-GGA level of DFT.

Unit cell a=3.0141 b=3.0141 c=35.3812 alpha=90.00 beta=90.00 gamma=120.00
Space group R-3m (No. 166, hexagonal axes)
Inequivalent atoms, fractional coordinates:
Fe1 0.0000 0.0000 0.1036 [6 per cell]
Hg1 0.0000 0.0000 0.2930 [6 per cell]
Hg2 0.0000 0.0000 0.5000 [3 per cell]

## Properties
Total magnetic moment   5.57 μB/f.u.
Crystal system   trigonal
Density of states at the Fermi level   16.134 states/eV per cell


Quick ranking, most stable first: version a, version b.